## V2GaCu (PBE-GGA)

Data for crystalline V2GaCu at its relaxed geometry.

Unit cell a=7.253 b=2.610 c=4.794 alpha=57.00 beta=112.90 gamma=135.58
Element x y z (fractional)
Cu 0.226 0.183 0.895
Ga 0.726 0.183 0.895
V 0.473 0.677 0.395
V 0.980 0.689 0.395

Calculated values
The value obtained for the total magnetization is 0.00 μB/f.u. The energy relative to the elements comes out at -0.082 eV/atom. Its symmetry is P2/m. The calculation puts the density of states at the Fermi level at 1.135 states/eV per atom.